VASP calculation (GGA-PBE) on crystalline Ca2GaCuCl at its relaxed geometry.

Computed properties:
Formation energy without anion corrections ... 0.042 eV per atom

The structure in CIF format:
```
data_Ca2GaCuCl
_symmetry_space_group_name_H-M 'P 4/m m m'
_symmetry_Int_Tables_number 123
_symmetry_space_group_name_Hall '-P 4 2'
_cell_length_a 5.758
_cell_length_b 5.758
_cell_length_c 5.168
_cell_angle_alpha 90.00
_cell_angle_beta 90.00
_cell_angle_gamma 90.00
loop_
_atom_site_label
_atom_site_type_symbol
_atom_site_fract_x
_atom_site_fract_y
_atom_site_fract_z
Ca1 Ca 0.000 0.500 0.000
Ga1 Ga 0.000 0.000 0.000
Cu1 Cu 0.500 0.500 0.500
Cl1 Cl 0.000 0.000 0.500
```